[1]
The following is a DFT calculation (GGA-PBE) of an optimized crystal structure of BaTlGaHg2.

a b c (Å): 5.305 5.305 5.743
angles (deg): 90.00 90.00 90.00
Atoms (fractional coordinates):
Tl 0.000 0.000 0.500
Hg 0.000 0.500 0.000
Hg 0.500 0.000 0.000
Ga 0.000 0.000 0.000
Ba 0.500 0.500 0.500

## Properties
DOS(E_F) ... 0.69 states/eV per atom
Calculated formation energy ... -0.86 eV per formula unit
Electronic total energy ... -1.755 eV per atom

[2]
The following is a DFT calculation (GGA-PBE) of an optimized crystal structure of BaTlGaHg.

a b c (Å): 5.532 5.532 5.532
angles (deg): 60.00 60.00 60.00
Atoms (fractional coordinates):
Tl 0.500 0.500 0.500
Hg 0.750 0.750 0.750
Ga 0.250 0.250 0.250
Ba 0.000 0.000 0.000

## Properties
DOS(E_F) ... 0.29 states/eV per atom
Calculated formation energy ... -1.14 eV per formula unit
Electronic total energy ... -2.190 eV per atom